Gd2Zn6Ge3: single point on PBEsol structure, meta-GGA SCAN.

DFT formation energy: -0.439 eV/atom
Volume: 17.5 A^3/atom
E: -23.7104 eV/atom

Unit cell a=3.9728 b=7.4792 c=7.4792 alpha=120.00 beta=90.00 gamma=90.00
With the nearest neighbours (Å) after each atom.
Element x y z (fractional)
Zn: 0.0000 0.8089 0.8089  6 Zn 2.47-2.73, 2 Ge 2.48
Zn: 0.5000 0.7171 0.0000  3 Ge 2.46-2.60, 4 Zn 2.73
Zn: 0.0000 0.0000 0.1911  6 Zn 2.47-2.73, 2 Ge 2.48
Ge: 0.5000 0.6114 0.6114  5 Zn 2.46-2.60
Gd: 0.0000 0.6667 0.3333  6 Ge 3.05, 9 Zn 3.16-3.35
Ge: 0.5000 0.0000 0.3886  5 Zn 2.46-2.60
Zn: 0.5000 0.2829 0.2829  3 Ge 2.46-2.60, 4 Zn 2.73
Gd: 0.0000 0.3333 0.6667  6 Ge 3.05, 9 Zn 3.16-3.35
Zn: 0.0000 0.1911 0.0000  6 Zn 2.47-2.73, 2 Ge 2.48
Zn: 0.5000 0.0000 0.7171  3 Ge 2.46-2.60, 4 Zn 2.73
Ge: 0.5000 0.3886 0.0000  5 Zn 2.46-2.60